Run A
Density functional theory data (PBE) for a relaxed Ba2BiB crystal.

Lattice parameters (Å, degrees): 8.2486 8.2486 8.2486 90.00 90.00 90.00
Space group Fm-3m (No. 225)
One atom of each set of equivalent atoms:
Ba: 0.2500 0.2500 0.2500
Bi: 0.0000 0.0000 0.0000
B: 0.0000 0.0000 0.5000

Properties
* theoretical density: 5.9 Mg/m³
* total magnetization: 3.080 Bohr magnetons per cell

***

Run B
Density functional theory data (PBE) for a relaxed Ba2BiB crystal.

Lattice parameters (Å, degrees): 11.7254 11.7254 4.9895 90.00 90.00 90.00
Space group I-42d (No. 122)
One atom of each set of equivalent atoms:
Ba: 0.0567 0.7500 0.1250
Bi: 0.0000 0.0000 0.5000
B: 0.0000 0.0000 0.0000

Properties
* theoretical density: 4.8 Mg/m³
* total magnetization: 0.000 Bohr magnetons per cell

***

So which one is most stable? That would be run B, about 0.025 eV/atom below the next structure.